Compound: SmSc6
Source: the Alexandria database
Functional: PBE
Structure: optimized geometry

Calculated values
Total DFT energy (no corrections): -4.84 eV/atom
Magnetic moment: 0.0 μB per formula unit
Density of states at the Fermi level: 7.181 states/eV/f.u.

```
data_SmSc6
_chemical_formula_sum 'Sm2 Sc12'
_cell_length_a 7.321
_cell_length_b 7.321
_cell_length_c 7.321
_cell_angle_alpha 90.00
_cell_angle_beta 90.00
_cell_angle_gamma 90.00
_space_group_name_H-M_alt 'I m -3 m'
_space_group_IT_number 229
_space_group_name_Hall '-I 4 2 3'
loop_
_atom_site_label
_atom_site_type_symbol
_atom_site_fract_x
_atom_site_fract_y
_atom_site_fract_z
Sm1 Sm 0.000 0.000 0.000
Sc1 Sc 0.000 0.250 0.500
```